# PBE-GGA TcOsSe, relaxed
data_TcOsSe
_chemical_formula_sum 'Tc2 Os2 Se2'
_cell_length_a 2.9372
_cell_length_b 3.9608
_cell_length_c 7.8469
_cell_angle_alpha 90.00
_cell_angle_beta 90.00
_cell_angle_gamma 90.00
_symmetry_space_group_name_H-M 'I m m 2'
_symmetry_Int_Tables_number 44
_symmetry_space_group_name_Hall 'I 2 -2'
loop_
_atom_site_label
_atom_site_fract_x
_atom_site_fract_y
_atom_site_fract_z
_atom_site_occupancy
Tc1 0.0000 0.0000 0.0000 1
Os1 0.0000 0.0000 0.6518 1
Se1 0.0000 0.0000 0.3266 1
# - D(E_F): 5.3 states/eV per cell
# - Relative energy among the computed polymorphs: 30.8 kJ/mol of atoms
# - Energy relative to the elements, uncorrected: 56.84 kJ per mole of atoms
# - Calculated density: 13.4 g/cm³